Computed, not measured: a geometry-optimized HfMoF2 structure at the GGA+U level of DFT.

## Properties
Volume in A^3/atom: 17.9
Offset from the most stable computed form in meV/atom: 39.5
Density in g/cm3: 7.23
Density of states at the Fermi level in states/eV/cell: 2.16
Size of the total moment in Bohr magnetons per cell: 7.88

a = 7.6924 Å, b = 7.6924 Å, c = 7.6924 Å
α = 145.74°, β = 145.74°, γ = 49.23°
Positions (direct):
Hf 0.0000 0.0000 0.0000
Hf 0.7500 0.2500 0.5000
Mo 0.2500 0.7500 0.5000
Mo 0.5000 0.5000 0.0000
F 0.3750 0.2067 0.3317
F 0.7933 0.1250 0.1683
F 0.8750 0.0433 0.6683
F 0.9567 0.6250 0.8317